Entry 1:
A geometry-optimized Pu2CuIr2 structure. Source: Alexandria via LeMat-Bulk, functional GGA-PBE.

Calculated values
ΔE_f: -9.26 kcal/mol of atoms
D(E_F): 14.568 states/eV/cell
mass density: 15.8 g/cm3

Cell lengths 5.390, 5.390, 5.390 Å; angles 133.30, 116.52, 82.40 degrees
Atoms (fractional coordinates):
Pu  0.201  0.201  0.000
Pu  0.799  0.799  0.000
Cu  0.500  0.000  0.500
Ir  0.237  0.500  0.737
Ir  0.763  0.500  0.263


Entry 2:
A geometry-optimized Pu2CuIr structure. Source: Alexandria via LeMat-Bulk, functional GGA-PBE.

Calculated values
ΔE_f: -5.94 kcal/mol of atoms
D(E_F): 30.004 states/eV/cell
mass density: 14.4 g/cm3

Cell lengths 5.664, 4.199, 7.663 Å; angles 90.00, 110.22, 90.00 degrees
Atoms (fractional coordinates):
Pu  0.211  0.250  0.431
Pu  0.215  0.250  0.922
Pu  0.785  0.750  0.078
Pu  0.789  0.750  0.569
Cu  0.349  0.750  0.212
Cu  0.651  0.250  0.788
Ir  0.342  0.750  0.711
Ir  0.658  0.250  0.289


Entry 3:
A geometry-optimized Pu2CuIr structure. Source: Alexandria via LeMat-Bulk, functional GGA-PBE.

Calculated values
ΔE_f: 1.39 kcal/mol of atoms
D(E_F): 15.623 states/eV/cell
mass density: 17.6 g/cm3

Cell lengths 5.642, 5.642, 5.870 Å; angles 116.73, 116.73, 93.59 degrees
Atoms (fractional coordinates):
Pu  0.181  0.819  0.000
Pu  0.205  0.205  0.410
Pu  0.795  0.795  0.590
Pu  0.819  0.181  0.000
Cu  0.334  0.334  0.001
Cu  0.666  0.666  0.999
Ir  0.251  0.749  0.500
Ir  0.749  0.251  0.500


Entry 4:
A geometry-optimized PuCuIrRh structure. Source: Alexandria via LeMat-Bulk, functional GGA-PBE.

Calculated values
ΔE_f: -5.77 kcal/mol of atoms
D(E_F): 3.169 states/eV/cell
mass density: 15.2 g/cm3

Cell lengths 4.537, 4.537, 4.537 Å; angles 60.00, 60.00, 60.00 degrees
Atoms (fractional coordinates):
Pu  0.000  0.000  0.000
Cu  0.500  0.500  0.500
Ir  0.250  0.250  0.250
Rh  0.750  0.750  0.750


Entry 5:
A geometry-optimized PuScCuIr structure. Source: Alexandria via LeMat-Bulk, functional GGA-PBE.

Calculated values
ΔE_f: -8.77 kcal/mol of atoms
D(E_F): 10.344 states/eV/cell
mass density: 12.0 g/cm3

Cell lengths 4.746, 4.746, 4.746 Å; angles 60.00, 60.00, 60.00 degrees
Atoms (fractional coordinates):
Pu  0.000  0.000  0.000
Sc  0.500  0.500  0.500
Cu  0.250  0.250  0.250
Ir  0.750  0.750  0.750


Entry 6:
A geometry-optimized Pu2CuSi6Ir structure. Source: Alexandria via LeMat-Bulk, functional GGA-PBE.

Calculated values
formation energy (no corrections): -0.272 eV/atom
D(E_F): 25.491 states/eV/cell
mass density: 8.3 g/cm3

Cell lengths 12.700, 12.700, 12.700 Å; angles 26.72, 26.72, 26.72 degrees
Atoms (fractional coordinates):
Pu  0.130  0.130  0.130
Pu  0.279  0.279  0.279
Pu  0.721  0.721  0.721
Pu  0.870  0.870  0.870
Cu  0.000  0.000  0.000
Cu  0.500  0.500  0.500
Si  0.064  0.662  0.662
Si  0.191  0.191  0.780
Si  0.191  0.780  0.191
Si  0.220  0.809  0.809
Si  0.338  0.338  0.936
Si  0.338  0.936  0.338
Si  0.662  0.064  0.662
Si  0.662  0.662  0.064
Si  0.780  0.191  0.191
Si  0.809  0.220  0.809
Si  0.809  0.809  0.220
Si  0.936  0.338  0.338
Ir  0.425  0.425  0.425
Ir  0.575  0.575  0.575


Entry 7:
A geometry-optimized TbPuCuIr structure. Source: Alexandria via LeMat-Bulk, functional GGA-PBE.

Calculated values
ΔE_f: -8.45 kcal/mol of atoms
D(E_F): 10.590 states/eV/cell
mass density: 13.3 g/cm3

Cell lengths 4.887, 4.887, 4.887 Å; angles 60.00, 60.00, 60.00 degrees
Atoms (fractional coordinates):
Tb  0.000  0.000  0.000
Pu  0.500  0.500  0.500
Cu  0.750  0.750  0.750
Ir  0.250  0.250  0.250


Entry 8:
A geometry-optimized TmPuCuIr structure. Source: Alexandria via LeMat-Bulk, functional GGA-PBE.

Calculated values
ΔE_f: -9.29 kcal/mol of atoms
D(E_F): 10.716 states/eV/cell
mass density: 13.8 g/cm3

Cell lengths 4.846, 4.846, 4.846 Å; angles 60.00, 60.00, 60.00 degrees
Atoms (fractional coordinates):
Tm  0.000  0.000  0.000
Pu  0.500  0.500  0.500
Cu  0.250  0.250  0.250
Ir  0.750  0.750  0.750


Entry 9:
A geometry-optimized PuUCuIr structure. Source: Alexandria via LeMat-Bulk, functional GGA-PBE.

Calculated values
ΔE_f: -7.46 kcal/mol of atoms
D(E_F): 5.749 states/eV/cell
mass density: 17.3 g/cm3

Cell lengths 4.644, 4.644, 4.644 Å; angles 60.00, 60.00, 60.00 degrees
Atoms (fractional coordinates):
Pu  0.000  0.000  0.000
U  0.250  0.250  0.250
Cu  0.750  0.750  0.750
Ir  0.500  0.500  0.500


Entry 10:
A geometry-optimized PuZrCuIr structure. Source: Alexandria via LeMat-Bulk, functional GGA-PBE.

Calculated values
ΔE_f: -6.54 kcal/mol of atoms
D(E_F): 7.395 states/eV/cell
mass density: 12.8 g/cm3

Cell lengths 4.769, 4.769, 4.769 Å; angles 60.00, 60.00, 60.00 degrees
Atoms (fractional coordinates):
Pu  0.000  0.000  0.000
Zr  0.500  0.500  0.500
Cu  0.250  0.250  0.250
Ir  0.750  0.750  0.750


Entry 11:
A geometry-optimized RbCu3Ir structure. Source: Alexandria via LeMat-Bulk, functional GGA-PBE.

Calculated values
ΔE_f: 54.84 kcal/mol of atoms
offset from the most stable computed form: 1.681 eV/atom
D(E_F): 2.948 states/eV/cell
mass density: 7.4 g/cm3

Cell lengths 4.728, 4.728, 4.728 Å; angles 90.00, 90.00, 90.00 degrees
Atoms (fractional coordinates):
Rb  0.000  0.000  0.000
Cu  0.000  0.000  0.500
Cu  0.000  0.500  0.000
Cu  0.500  0.000  0.000
Ir  0.500  0.500  0.500


Entry 12:
A geometry-optimized RbCuIr2 structure. Source: Alexandria via LeMat-Bulk, functional GGA-PBE.

Calculated values
ΔE_f: 20.81 kcal/mol of atoms
offset from the most stable computed form: 0.000 eV/atom
D(E_F): 9.891 states/eV/cell
mass density: 8.6 g/cm3

Cell lengths 9.550, 9.550, 9.550 Å; angles 150.94, 150.94, 41.57 degrees
Atoms (fractional coordinates):
Rb  0.000  0.000  0.000
Rb  0.750  0.250  0.500
Cu  0.250  0.750  0.500
Cu  0.500  0.500  0.000
Ir  0.345  0.625  0.220
Ir  0.375  0.595  0.720
Ir  0.405  0.125  0.780
Ir  0.875  0.655  0.280


Entry 13:
A geometry-optimized RbCu2Ir structure. Source: Alexandria via LeMat-Bulk, functional GGA-PBE.

Calculated values
ΔE_f: 17.01 kcal/mol of atoms
offset from the most stable computed form: 0.000 eV/atom
D(E_F): 13.143 states/eV/cell
mass density: 6.1 g/cm3

Cell lengths 8.825, 8.825, 8.825 Å; angles 145.50, 145.50, 49.59 degrees
Atoms (fractional coordinates):
Rb  0.375  0.625  0.750
Rb  0.625  0.375  0.250
Cu  0.000  0.000  0.000
Cu  0.000  0.000  0.500
Cu  0.000  0.500  0.000
Cu  0.500  0.000  0.500
Ir  0.125  0.875  0.250
Ir  0.875  0.125  0.750


Entry 14:
A geometry-optimized RbCu3Ir structure. Source: Alexandria via LeMat-Bulk, functional GGA-PBE.

Calculated values
ΔE_f: 16.08 kcal/mol of atoms
offset from the most stable computed form: 0.000 eV/atom
D(E_F): 5.293 states/eV/cell
mass density: 6.8 g/cm3

Cell lengths 4.847, 4.847, 4.847 Å; angles 90.00, 90.00, 90.00 degrees
Atoms (fractional coordinates):
Rb  0.000  0.000  0.000
Cu  0.000  0.500  0.500
Cu  0.500  0.000  0.500
Cu  0.500  0.500  0.000
Ir  0.500  0.500  0.500


Entry 15:
A geometry-optimized RbCu2Ir structure. Source: Alexandria via LeMat-Bulk, functional GGA-PBE.

Calculated values
ΔE_f: 25.31 kcal/mol of atoms
offset from the most stable computed form: 0.360 eV/atom
D(E_F): 0.706 states/eV/cell
mass density: 9.2 g/cm3

Cell lengths 4.697, 4.697, 4.697 Å; angles 60.00, 60.00, 60.00 degrees
Atoms (fractional coordinates):
Rb  0.000  0.000  0.000
Cu  0.250  0.250  0.250
Cu  0.750  0.750  0.750
Ir  0.500  0.500  0.500


Entry 16:
A geometry-optimized RbCuIr2 structure. Source: Alexandria via LeMat-Bulk, functional GGA-PBE.

Calculated values
ΔE_f: 38.05 kcal/mol of atoms
offset from the most stable computed form: 0.748 eV/atom
D(E_F): 8.897 states/eV/cell
mass density: 12.4 g/cm3

Cell lengths 4.653, 4.653, 4.653 Å; angles 60.00, 60.00, 60.00 degrees
Atoms (fractional coordinates):
Rb  0.000  0.000  0.000
Cu  0.500  0.500  0.500
Ir  0.250  0.250  0.250
Ir  0.750  0.750  0.750


Entry 17:
A geometry-optimized Rb2CuIrS4 structure. Source: Alexandria via LeMat-Bulk, functional GGA-PBE.

Calculated values
formation energy (no corrections): -0.551 eV/atom
D(E_F): 3.001 states/eV/cell
mass density: 4.0 g/cm3

Cell lengths 13.279, 11.884, 7.282 Å; angles 84.06, 62.89, 33.05 degrees
Atoms (fractional coordinates):
Rb  0.055  0.055  0.695
Rb  0.305  0.305  0.945
Rb  0.695  0.695  0.055
Rb  0.945  0.945  0.305
Cu  0.375  0.375  0.375
Cu  0.625  0.625  0.625
Ir  0.125  0.125  0.125
Ir  0.875  0.875  0.875
S  0.026  0.330  0.405
S  0.261  0.595  0.670
S  0.330  0.026  0.739
S  0.405  0.739  0.026
S  0.595  0.261  0.974
S  0.670  0.974  0.261
S  0.739  0.405  0.330
S  0.974  0.670  0.595


Entry 18:
A geometry-optimized Rb2ScCuIr structure. Source: Alexandria via LeMat-Bulk, functional GGA-PBE.

Calculated values
ΔE_f: 29.02 kcal/mol of atoms
D(E_F): 8.958 states/eV/cell
mass density: 3.9 g/cm3

Cell lengths 6.471, 6.471, 4.737 Å; angles 90.00, 90.00, 90.00 degrees
Atoms (fractional coordinates):
Rb  0.000  0.500  0.000
Rb  0.500  0.000  0.000
Sc  0.000  0.000  0.500
Cu  0.500  0.500  0.500
Ir  0.500  0.500  0.000


Entry 19:
A geometry-optimized RbCuIrSe3 structure. Source: Alexandria via LeMat-Bulk, functional GGA-PBE.

Calculated values
formation energy (no corrections): -0.498 eV/atom
D(E_F): 4.993 states/eV/cell
mass density: 6.4 g/cm3

Cell lengths 8.605, 3.917, 9.678 Å; angles 90.00, 113.35, 90.00 degrees
Atoms (fractional coordinates):
Rb  0.233  0.250  0.260
Rb  0.767  0.750  0.740
Cu  0.074  0.250  0.591
Cu  0.926  0.750  0.409
Ir  0.321  0.750  0.851
Ir  0.679  0.250  0.149
Se  0.134  0.250  0.858
Se  0.232  0.750  0.564
Se  0.483  0.750  0.130
Se  0.517  0.250  0.870
Se  0.768  0.250  0.436
Se  0.866  0.750  0.142


Entry 20:
A geometry-optimized RbSr2CuIr structure. Source: Alexandria via LeMat-Bulk, functional GGA-PBE.

Calculated values
ΔE_f: 9.79 kcal/mol of atoms
D(E_F): 2.650 states/eV/cell
mass density: 4.1 g/cm3

Cell lengths 5.718, 5.718, 6.354 Å; angles 90.00, 90.00, 90.00 degrees
Atoms (fractional coordinates):
Rb  0.000  0.000  0.000
Sr  0.000  0.500  0.500
Sr  0.500  0.000  0.500
Cu  0.500  0.500  0.000
Ir  0.000  0.000  0.500